(1)
A relaxed structure of Na4Mg3F10, computed with PBE-GGA.

Structure (extended XYZ):
```
17
Lattice="-2.535 -1.175 2.779 -2.480 -1.256 -2.794 8.526 -11.203 0.246" Properties=species:S:1:pos:R:3 pbc="T T T"
Mg 1.733 -3.576 0.069
Mg 1.778 -10.058 0.163
Mg 0.000 0.000 0.000
F -1.268 -0.588 1.389
F 2.591 -5.347 0.103
F 3.035 -9.465 1.560
F 0.920 -8.287 0.129
F 2.648 -11.853 0.197
F 0.863 -1.780 0.034
F -1.240 -0.628 -1.397
F 0.476 -4.169 -1.329
F 3.062 -9.505 -1.226
F 0.448 -4.129 1.458
Na -0.039 -6.309 0.091
Na 5.169 -10.666 0.205
Na 3.550 -7.324 0.141
Na -1.659 -2.967 0.026
```

Space-group type ... I4/mmm (139)
Uncorrected formation energy ... -53.45 eV per formula unit
D(E_F) ... 0.00 states/eV/cell

(2)
A relaxed structure of BiHRh, computed with PBE-GGA.

Structure (extended XYZ):
```
6
Lattice="-1.779 2.463 -1.254 -3.866 -3.640 -1.664 -4.806 -1.208 4.449" Properties=species:S:1:pos:R:3 pbc="T T T"
Bi -5.169 -2.240 2.937
Bi -5.282 -0.146 -1.405
Rh -6.208 -2.116 0.346
Rh -4.244 -0.270 1.185
H -2.778 0.518 0.652
H -7.673 -2.903 0.879
```

Space-group type ... P2/m (10)
Polymorph energy (0 for the lowest one) ... 16 meV per atom
D(E_F) ... 1.46 states/eV/cell

(3)
A relaxed structure of KY2Al, computed with PBE-GGA.

Structure (extended XYZ):
```
4
Lattice="7.040 0.004 -0.003 3.909 5.855 0.003 -4.884 -4.033 3.073" Properties=species:S:1:pos:R:3 pbc="T T T"
Al 5.306 2.839 0.000
K 3.398 -0.773 1.535
Y 2.756 2.646 1.538
Y 0.079 0.042 0.000
```

Space-group type ... Imm2 (44)
D(E_F) ... 4.40 states/eV/cell
Energy relative to the elements ... 294 meV/atom

(4)
A relaxed structure of AcPbF, computed with PBE-GGA.

Structure (extended XYZ):
```
6
Lattice="4.439 0.000 -1.339 0.000 4.620 0.000 -0.131 -0.001 7.590" Properties=species:S:1:pos:R:3 pbc="T T T"
F 3.781 0.534 0.194
F 1.629 2.842 1.087
Ac 1.030 0.533 7.126
Ac 4.248 2.842 1.744
Pb 2.363 0.533 3.521
Pb 2.915 2.843 5.348
```

Space-group type ... Cmcm (63)
Polymorph energy (0 for the lowest one) ... 0 meV per atom
Uncorrected formation energy ... -6.08 eV per formula unit
D(E_F) ... 1.03 states/eV/cell

(5)
A relaxed structure of K2NaU2S7, computed with PBE-GGA.

Structure (extended XYZ):
```
12
Lattice="-0.071 1.507 4.956 -3.904 -3.274 0.939 6.619 -10.292 5.934" Properties=species:S:1:pos:R:3 pbc="T T T"
U 2.933 -9.318 8.292
U -0.290 -2.741 3.538
S -2.309 -4.304 3.986
S 1.320 -4.500 4.096
S -0.393 -1.914 5.994
S 1.323 -7.558 7.733
S 3.037 -10.144 5.836
S 4.953 -7.754 7.844
S -1.988 -0.883 2.948
Na 0.000 0.000 0.000
K -0.805 -5.234 6.998
K 3.449 -6.825 4.832
```

Space-group type ... I4/mmm (139)
Uncorrected formation energy ... -14.79 eV per formula unit
D(E_F) ... 7.84 states/eV/cell

(6)
A relaxed structure of Ho3ThTl3Te8, computed with PBE-GGA.

Structure (extended XYZ):
```
15
Lattice="-6.714 3.224 4.797 1.017 -8.756 -0.873 6.310 4.645 5.712" Properties=species:S:1:pos:R:3 pbc="T T T"
Ho -0.202 3.934 5.254
Ho 3.664 -2.056 2.419
Ho 0.307 -0.444 4.818
Tl 0.000 0.000 0.000
Tl 0.509 -4.378 -0.437
Tl -2.849 -2.766 1.962
Te 0.024 1.528 7.187
Te 0.588 -2.843 6.743
Te 3.879 -4.423 4.392
Te -2.767 -0.756 4.815
Te -3.266 3.535 5.243
Te 3.380 -0.132 4.820
Te 0.025 1.955 2.893
Te 0.589 -2.415 2.448
Th 3.155 2.322 2.856
```

Space-group type ... R-3m (166)
Uncorrected formation energy ... -16.12 eV per formula unit

(7)
A relaxed structure of BaHg4, computed with PBE-GGA.

Structure (extended XYZ):
```
5
Lattice="-3.903 3.903 3.903 3.903 -3.903 3.903 3.903 3.903 -3.903" Properties=species:S:1:pos:R:3 pbc="T T T"
Hg 1.952 1.952 -1.952
Hg -1.952 1.952 1.952
Hg 1.952 -1.952 1.952
Hg 1.952 1.952 1.952
Ba 0.000 0.000 0.000
```

Space-group type ... Im-3m (229)
Polymorph energy (0 for the lowest one) ... 337 meV per atom
D(E_F) ... 3.45 states/eV/cell
Energy relative to the elements ... -37 meV/atom

(8)
A relaxed structure of NiMoI, computed with PBE-GGA.

Structure (extended XYZ):
```
6
Lattice="3.746 -0.254 0.739 2.066 3.176 0.534 1.766 1.553 11.331" Properties=species:S:1:pos:R:3 pbc="T T T"
I 5.159 2.797 4.534
I 2.419 1.678 8.070
Ni 3.491 1.875 2.768
Ni 4.087 2.600 9.836
Mo 5.777 3.527 11.493
Mo 1.800 0.948 1.112
```

Space-group type ... C2/m (12)
Uncorrected formation energy ... 0.65 eV per formula unit
D(E_F) ... 2.52 states/eV/cell

(9)
A relaxed structure of NbZnNiIr, computed with PBE-GGA.

Structure (extended XYZ):
```
4
Lattice="3.932 0.000 0.000 0.000 3.932 0.000 -1.966 -1.966 3.708" Properties=species:S:1:pos:R:3 pbc="T T T"
Ni 1.966 0.000 1.854
Ir 0.000 1.966 1.854
Zn 0.000 3.932 0.000
Nb 0.000 0.000 3.708
```

Space-group type ... I-4m2 (119)
Polymorph energy (0 for the lowest one) ... 0 meV per atom
D(E_F) ... 1.84 states/eV/cell
Energy relative to the elements ... -363 meV/atom

(10)
A relaxed structure of MgNb2B2Os5, computed with PBE-GGA.

Structure (extended XYZ):
```
20
Lattice="3.019 0.000 0.000 0.000 9.455 0.000 0.000 0.000 9.455" Properties=species:S:1:pos:R:3 pbc="T T T"
Mg 0.000 4.728 4.728
Mg 0.000 0.000 0.000
Nb 0.000 3.039 7.767
Nb 0.000 7.767 6.416
Nb 0.000 6.416 1.688
Nb 0.000 1.688 3.039
Os 1.510 2.663 5.380
Os 1.510 5.380 6.792
Os 1.510 0.653 7.391
Os 1.510 4.075 2.663
Os 1.510 6.792 4.075
Os 1.510 8.803 2.065
Os 1.510 0.000 4.728
Os 1.510 2.065 0.653
Os 1.510 4.728 0.000
Os 1.510 7.391 8.803
B 0.000 5.908 8.275
B 0.000 1.181 5.908
B 0.000 8.275 3.547
B 0.000 3.547 1.181
```

Space-group type ... P4/mbm (127)
D(E_F) ... 11.10 states/eV/cell
Energy relative to the elements ... -224 meV/atom

(11)
A relaxed structure of CaPuPdAu, computed with PBE-GGA.

Structure (extended XYZ):
```
4
Lattice="3.507 0.000 0.000 0.000 3.507 0.000 0.000 0.000 7.496" Properties=species:S:1:pos:R:3 pbc="T T T"
Pu 0.000 0.000 2.774
Au 1.754 1.754 0.800
Pd 1.754 1.754 4.498
Ca 0.000 0.000 6.380
```

Space-group type ... P4mm (99)
Polymorph energy (0 for the lowest one) ... 0 meV per atom
D(E_F) ... 11.37 states/eV/cell
Energy relative to the elements ... -560 meV/atom

(12)
A relaxed structure of LiPaCSe, computed with PBE-GGA.

Structure (extended XYZ):
```
8
Lattice="4.006 0.000 0.000 2.003 3.469 0.000 2.003 1.156 10.463" Properties=species:S:1:pos:R:3 pbc="T T T"
C 2.003 1.156 4.337
C 6.008 3.469 6.126
Se 4.006 2.313 8.706
Se 4.006 2.313 1.757
Li 6.008 3.469 9.570
Li 2.003 1.156 0.893
Pa 6.008 3.469 3.813
Pa 2.003 1.156 6.650
```

Space-group type ... R-3m (166)
Uncorrected formation energy ... -3.77 eV per formula unit
D(E_F) ... 0.13 states/eV/cell

(13)
A relaxed structure of TaAgMo2Rh, computed with PBE-GGA.

Structure (extended XYZ):
```
5
Lattice="-1.746 1.644 4.094 4.112 -1.159 2.219 1.743 4.302 -0.983" Properties=species:S:1:pos:R:3 pbc="T T T"
Mo -0.873 0.822 2.047
Mo 0.872 2.151 -0.492
Rh 2.055 2.393 2.665
Ag 0.000 0.000 0.000
Ta 2.056 -0.580 1.110
```

Space-group type ... P4/mmm (123)
D(E_F) ... 8.50 states/eV/cell
Energy relative to the elements ... 2425 meV/atom

(14)
A relaxed structure of YCrIn2, computed with PBE-GGA.

Structure (extended XYZ):
```
4
Lattice="9.773 -0.109 -0.064 9.211 3.270 -0.064 9.211 1.533 2.888" Properties=species:S:1:pos:R:3 pbc="T T T"
Cr 21.146 3.521 2.070
Y 7.049 1.174 0.690
In 13.852 2.306 1.356
In 0.246 0.041 0.024
```

Space-group type ... R-3m (166)
D(E_F) ... 3.50 states/eV/cell
Energy relative to the elements ... 146 meV/atom

(15)
A relaxed structure of LaAl3Br12, computed with PBE-GGA.

Structure (extended XYZ):
```
48
Lattice="11.095 0.000 0.000 -5.547 9.608 0.000 0.000 0.000 19.147" Properties=species:S:1:pos:R:3 pbc="T T T"
Br -0.489 1.806 16.614
Br 4.031 3.202 10.151
Br 2.940 3.693 16.913
Br 6.305 4.516 3.769
Br 6.426 0.700 4.148
Br 6.306 1.890 16.533
Br 5.156 4.814 13.440
Br 1.591 6.872 5.708
Br -3.422 9.207 17.853
Br -2.006 6.946 7.025
Br 4.137 7.969 11.471
Br -0.391 4.794 18.472
Br 0.535 4.398 13.407
Br 7.276 5.216 10.531
Br 0.758 7.718 15.379
Br 9.775 1.326 8.916
Br -1.516 6.406 2.614
Br -1.200 7.550 12.090
Br 1.728 4.393 2.234
Br 4.228 8.282 3.849
Br -2.607 5.915 14.999
Br 7.018 1.736 12.122
Br 1.809 0.480 2.534
Br 0.879 8.909 8.616
Br 0.758 5.092 8.996
Br -0.715 2.041 5.089
Br 4.347 2.059 0.675
Br 6.082 5.210 18.505
Br 9.684 1.639 1.294
Br 1.471 7.872 0.642
Br 2.125 0.401 14.059
Br 7.138 2.736 7.057
Br -3.739 9.129 10.231
Br 5.058 7.802 15.298
Br 4.832 7.567 7.676
Br 3.542 2.662 5.740
Al 5.816 3.562 11.508
Al 5.138 8.899 9.574
Al -0.445 6.352 14.021
Al 5.724 2.791 5.126
Al 5.102 3.256 17.891
Al -0.410 0.709 3.191
Al 0.176 6.818 7.639
Al 0.819 0.000 15.956
Al 0.269 6.047 1.256
La -4.164 7.212 12.765
La 1.384 2.396 0.000
La 8.327 0.000 6.382
```

Space-group type ... P3_121 (152)
Uncorrected formation energy ... -21.52 eV per formula unit
D(E_F) ... 0.00 states/eV/cell

(16)
A relaxed structure of PmB2C, computed with PBE-GGA.

Structure (extended XYZ):
```
8
Lattice="3.323 0.000 0.000 0.000 3.045 0.000 -1.661 0.000 8.808" Properties=species:S:1:pos:R:3 pbc="T T T"
B 1.661 0.761 4.405
B 1.661 2.283 8.592
B 0.000 0.761 0.216
B 0.000 2.283 4.402
C 0.000 0.761 3.635
C 1.661 2.283 5.172
Pm 0.000 0.761 6.887
Pm 1.661 2.283 1.920
```

Space-group type ... Cmcm (63)
Polymorph energy (0 for the lowest one) ... 532 meV per atom
D(E_F) ... 1.76 states/eV/cell
Energy relative to the elements ... 93 meV/atom

(17)
A relaxed structure of MnAsP2, computed with PBE-GGA.

Structure (extended XYZ):
```
4
Lattice="-6.343 4.709 -4.019 -7.492 2.029 -4.280 -7.907 3.566 -1.823" Properties=species:S:1:pos:R:3 pbc="T T T"
P -15.664 7.424 -7.293
P -21.553 10.215 -10.035
As -11.465 5.434 -5.338
Mn -5.670 2.687 -2.640
```

Space-group type ... R3m (160)
D(E_F) ... 0.93 states/eV/cell
Energy relative to the elements ... 150 meV/atom

(18)
A relaxed structure of Sm4YTm6, computed with PBE-GGA.

Structure (extended XYZ):
```
11
Lattice="7.671 0.000 0.000 0.000 7.671 0.000 -3.836 -3.836 6.463" Properties=species:S:1:pos:R:3 pbc="T T T"
Sm 2.507 -2.507 5.486
Sm 6.342 6.342 0.977
Sm 1.329 1.329 0.977
Sm -2.507 2.507 5.486
Tm 0.000 3.836 0.000
Tm 5.740 1.931 2.360
Tm 1.905 1.905 4.103
Tm 3.836 0.000 0.000
Tm -1.905 -1.905 4.103
Tm 1.931 5.740 2.360
Y 3.836 3.836 0.000
```

Space-group type ... I-42m (121)
Polymorph energy (0 for the lowest one) ... 160 meV per atom
D(E_F) ... 14.87 states/eV/cell
Energy relative to the elements ... 465 meV/atom

(19)
A relaxed structure of CaAc2PuN4, computed with PBE-GGA.

Structure (extended XYZ):
```
8
Lattice="3.750 0.000 0.000 0.000 6.281 0.137 0.000 -2.188 6.013" Properties=species:S:1:pos:R:3 pbc="T T T"
N 1.875 3.099 4.728
N 1.875 0.994 1.421
N 0.000 4.464 1.381
N 0.000 -0.371 4.768
Pu 0.000 0.000 0.000
Ac 1.875 -1.094 3.006
Ac 0.000 2.047 3.075
Ca 1.875 3.141 0.068
```

Space-group type ... P2/m (10)
Uncorrected formation energy ... -8.12 eV per formula unit
D(E_F) ... 5.59 states/eV/cell

(20)
A relaxed structure of La2In2Cu, computed with PBE-GGA.

Structure (extended XYZ):
```
10
Lattice="7.328 0.000 0.000 0.000 7.328 0.000 0.000 0.000 5.160" Properties=species:S:1:pos:R:3 pbc="T T T"
Cu 0.000 0.000 0.000
Cu 3.664 3.664 0.000
La 6.178 2.514 2.580
La 1.150 4.814 2.580
La 2.514 1.150 2.580
La 4.814 6.178 2.580
In 4.758 1.094 0.000
In 6.234 4.758 0.000
In 2.570 6.234 0.000
In 1.094 2.570 0.000
```

Space-group type ... P4/mbm (127)
Polymorph energy (0 for the lowest one) ... 107 meV per atom
D(E_F) ... 10.92 states/eV/cell
Energy relative to the elements ... -284 meV/atom

| no. | total energy (eV per atom) | magnetic moment (μB/f.u.) |
| --- | --- | --- |
| 1 | -4.8366 | 0.0 |
| 2 | -4.9064 | 0.0 |
| 3 | -4.1481 | 0.1 |
| 4 | -5.2551 | 0.0 |
| 5 | -5.8143 | 1.0 |
| 6 | -4.6340 | 0.0 |
| 7 | -0.6627 | 0.0 |
| 8 | -5.8367 | 0.0 |
| 9 | -6.8596 | 0.0 |
| 10 | -9.3476 | 0.0 |
| 11 | -6.7608 | 5.9 |
| 12 | -6.9727 | 0.0 |
| 13 | -6.3181 | 2.7 |
| 14 | -5.2456 | 3.7 |
| 15 | -3.6092 | 0.0 |
| 16 | -6.7398 | 0.0 |
| 17 | -6.0099 | 0.0 |
| 18 | -4.2774 | 0.0 |
| 19 | -8.2464 | 3.9 |
| 20 | -4.1696 | 0.0 |